1.
## Pu5U2Ge3 (GGA-PBE)

Data for a geometry-optimized Pu5U2Ge3 structure.

Structure (extended XYZ):
```
20
Lattice="-0.372 9.021 -4.832 6.109 0.357 -5.308 -6.292 -7.025 0.973" Properties=species:S:1:pos:R:3 pbc="T T T"
Pu 3.294 3.911 -6.993
Pu -1.941 5.632 -5.614
Pu 1.386 -3.278 -3.554
Pu -1.523 2.530 -6.449
Pu -1.934 0.999 -3.411
Pu -3.458 -0.041 -5.235
Pu 1.378 1.354 -5.757
Pu -3.849 -1.558 -2.174
Pu 0.968 -0.177 -2.719
Pu 2.903 2.394 -3.932
Ge -1.415 -2.000 -3.539
Ge 3.057 -0.854 -4.497
Ge -0.395 0.144 -7.879
Ge 0.859 4.353 -5.629
Ge -3.612 3.207 -4.671
Ge -0.160 2.209 -1.289
U -0.767 -0.541 -0.885
U -0.935 4.018 -3.345
U 0.379 -1.665 -5.823
U 0.212 2.895 -8.282
```

D(E_F) ... 65.95 states/eV/cell
Energy relative to the elements ... -0.407 eV/f.u.

***

2.
## ThTeCl3 (GGA-PBE)

Data for a geometry-optimized ThTeCl3 structure.

Structure (extended XYZ):
```
10
Lattice="6.888 -0.014 -0.005 -0.010 7.923 -0.028 -0.008 -0.027 6.359" Properties=species:S:1:pos:R:3 pbc="T T T"
Te 6.643 7.454 0.706
Te 3.187 3.224 3.870
Th 1.189 5.326 5.110
Th 4.636 5.351 1.928
Cl 6.773 3.924 3.029
Cl 3.331 6.734 6.223
Cl 5.938 3.883 6.230
Cl 2.504 6.778 3.065
Cl 6.112 7.033 3.917
Cl 2.665 3.647 0.725
```

D(E_F) ... 3.68 states/eV/cell
Energy relative to the elements, uncorrected ... -1560.4 meV per atom

***

3.
## Y3InS6 (GGA-PBE)

Data for a geometry-optimized Y3InS6 structure.

Structure (extended XYZ):
```
40
Lattice="-3.116 2.280 0.066 -6.278 -8.332 -8.622 -6.050 -8.641 12.755" Properties=species:S:1:pos:R:3 pbc="T T T"
S -9.207 -7.581 -3.359
S -8.634 -10.455 9.867
S -8.363 -6.831 10.336
S -8.580 -6.822 0.161
S -11.016 -10.357 6.980
S -10.551 -9.508 -0.274
S -11.966 -14.839 3.864
S -7.768 -9.165 6.305
S -6.452 -4.044 4.506
S -9.813 -11.901 4.166
S -5.252 -5.378 -5.702
S -12.414 -12.120 1.921
S -5.985 -3.197 -2.748
S -6.120 -6.667 -2.139
S -9.321 -11.006 -3.395
S -8.428 -6.727 4.071
S -4.588 -1.434 2.311
S -4.072 -3.933 -0.001
S -4.567 -4.826 7.561
S -8.359 -9.863 2.641
S -5.532 -5.967 1.525
S -1.915 -0.997 0.302
S -7.797 -5.971 7.591
S -8.636 -6.725 -6.104
In -6.952 -7.910 2.083
In -2.328 1.703 0.049
In -3.917 -3.597 -4.295
In -5.363 -2.610 6.427
Y -4.117 -4.077 2.905
Y -9.769 -11.756 1.261
Y -9.457 -8.261 8.277
Y -6.033 -6.772 5.609
Y -4.554 -1.301 -0.722
Y -12.446 -12.254 4.954
Y -7.547 -5.292 -4.046
Y -5.708 -6.449 9.577
Y -8.175 -9.386 -5.411
Y -7.856 -9.059 -1.444
Y -10.102 -9.035 4.652
Y -6.904 -4.516 -0.420
```

Energy relative to the elements, uncorrected ... -1685.5 meV per atom
Energy above the most stable polymorph in this dataset ... 6 meV/atom

***

4.
## LiPuSO (GGA-PBE)

Data for a geometry-optimized LiPuSO structure.

Structure (extended XYZ):
```
8
Lattice="-1.283 3.647 -0.348 -1.551 -0.875 -3.449 -7.371 -2.222 3.879" Properties=species:S:1:pos:R:3 pbc="T T T"
S -1.900 1.444 0.488
S -6.888 -2.280 1.492
Pu -3.412 -1.232 -0.337
Pu -5.376 0.396 2.317
O -3.686 -1.111 1.940
O -5.102 0.275 0.041
Li 0.000 0.000 0.000
Li -1.417 1.386 -1.898
```

D(E_F) ... 12.12 states/eV/cell
Energy relative to the elements, uncorrected ... -2120.5 meV per atom

***

5.
## BaTaIr2 (GGA-PBE)

Data for a geometry-optimized BaTaIr2 structure.

Structure (extended XYZ):
```
4
Lattice="0.000 3.441 3.441 3.441 0.000 3.441 3.441 3.441 0.000" Properties=species:S:1:pos:R:3 pbc="T T T"
Ba 0.000 0.000 0.000
Ir 5.162 5.162 5.162
Ir 1.721 1.721 1.721
Ta 3.441 3.441 3.441
```

D(E_F) ... 4.08 states/eV/cell
Energy relative to the elements ... 2.257 eV/f.u.
Energy above the most stable polymorph in this dataset ... 780 meV/atom

***

6.
## NaPt2W (GGA-PBE)

Data for a geometry-optimized NaPt2W structure.

Structure (extended XYZ):
```
8
Lattice="7.367 0.000 0.000 0.000 7.367 0.000 3.683 3.683 2.860" Properties=species:S:1:pos:R:3 pbc="T T T"
Pt 5.525 5.198 2.145
Pt 1.514 5.525 0.715
Pt 9.208 9.536 2.145
Pt 5.852 1.842 0.715
W 7.367 3.683 1.430
W 0.000 0.000 0.000
Na 3.683 3.683 0.000
Na 3.683 7.367 1.430
```

D(E_F) ... 3.39 states/eV/cell
Energy relative to the elements ... 2.097 eV/f.u.
Energy above the most stable polymorph in this dataset ... 323 meV/atom

***

7.
## YRu2W (GGA-PBE)

Data for a geometry-optimized YRu2W structure.

Structure (extended XYZ):
```
4
Lattice="3.348 0.000 0.000 0.000 4.905 0.000 0.000 0.000 4.222" Properties=species:S:1:pos:R:3 pbc="T T T"
Ru 0.000 0.000 0.000
Ru 1.674 2.453 0.000
Y 0.000 2.453 2.111
W 1.674 0.000 2.111
```

D(E_F) ... 4.12 states/eV/cell
Energy relative to the elements ... 1.471 eV/f.u.
Energy above the most stable polymorph in this dataset ... 452 meV/atom

***

8.
## Ca12Ac3Ag5 (GGA-PBE)

Data for a geometry-optimized Ca12Ac3Ag5 structure.

Structure (extended XYZ):
```
80
Lattice="-13.268 -8.288 5.324 12.410 -1.993 10.728 -3.675 16.062 -1.250" Properties=species:S:1:pos:R:3 pbc="T T T"
Ac -1.389 2.080 12.599
Ac -5.756 -4.955 7.860
Ac -6.568 0.345 5.541
Ac 1.862 -0.338 8.389
Ac -6.395 6.120 6.413
Ac 6.444 9.267 9.115
Ac -10.977 -3.485 5.687
Ac -3.144 3.702 2.203
Ac -2.761 -6.739 12.548
Ac 1.224 10.737 6.942
Ac -1.771 12.520 2.254
Ac 2.036 5.437 9.261
Ag -2.332 -1.598 4.522
Ag 6.205 -0.996 5.364
Ag 7.083 -1.808 10.562
Ag 0.000 0.000 0.000
Ag -11.615 7.590 4.240
Ag -1.837 8.031 -0.625
Ag -0.429 -5.140 8.026
Ag 6.271 3.493 8.243
Ag -3.572 -1.438 10.229
Ag 2.077 2.232 4.376
Ag -8.471 3.887 2.037
Ag -0.960 7.220 4.573
Ag -6.180 8.690 2.400
Ag -6.634 -4.144 2.662
Ag -2.266 2.891 7.401
Ag -2.200 7.380 10.280
Ag 4.368 7.035 4.739
Ag -10.803 2.289 6.559
Ag -6.609 3.550 10.426
Ag 1.648 -2.908 12.402
Ca 3.434 -0.301 4.677
Ca -9.152 -4.061 9.236
Ca 1.739 -0.020 12.406
Ca -8.401 -1.831 3.065
Ca -6.271 5.802 2.396
Ca 1.697 -4.118 9.779
Ca -10.021 -0.325 7.510
Ca 1.633 6.891 5.805
Ca -2.744 5.348 5.862
Ca -3.987 8.377 8.239
Ca -2.670 1.229 5.011
Ca -3.931 -1.014 13.065
Ca -1.862 4.553 9.791
Ca -7.966 6.082 10.125
Ca 0.226 8.939 10.104
Ca 4.289 2.148 9.858
Ca 9.774 -0.954 9.948
Ca 3.868 7.613 11.737
Ca -14.306 6.736 4.854
Ca 4.620 9.843 5.566
Ca 0.497 -8.410 14.235
Ca 3.571 11.489 10.132
Ca -0.601 6.796 1.737
Ca -0.854 -3.670 13.631
Ca -0.545 -2.595 6.563
Ca -8.821 3.634 4.944
Ca -1.788 0.434 8.940
Ca -4.759 -3.157 4.698
Ca -6.560 -6.441 11.232
Ca -5.112 2.694 8.108
Ca -2.405 -4.062 9.915
Ca -6.229 9.900 5.023
Ca -6.165 -1.110 8.997
Ca -10.026 7.120 6.607
Ca 0.579 3.088 6.694
Ca 8.599 3.870 9.912
Ca 2.061 4.155 12.808
Ca -13.131 1.912 4.890
Ca 5.494 -1.338 8.194
Ca -5.029 14.192 0.567
Ca -3.679 9.452 1.171
Ca -8.104 -5.707 4.670
Ca 0.178 1.916 2.221
Ca -6.594 1.627 1.994
Ca -4.710 3.866 12.581
Ca -2.127 9.844 4.887
Ca 5.489 6.107 7.292
Ca 2.028 12.223 3.570
```

D(E_F) ... 98.19 states/eV/cell
Energy relative to the elements ... 5.705 eV/f.u.

***

9.
## Sc8C3Se2 (GGA-PBE)

Data for a geometry-optimized Sc8C3Se2 structure.

Structure (extended XYZ):
```
13
Lattice="5.925 0.000 0.194 0.000 6.805 0.000 -2.171 -3.402 6.170" Properties=species:S:1:pos:R:3 pbc="T T T"
Sc 1.865 -1.784 5.070
Sc 1.865 1.784 5.070
Sc 4.931 3.402 1.308
Sc -1.177 0.000 5.056
Sc 4.902 0.000 1.331
Sc 1.889 5.186 1.295
Sc 1.889 1.618 1.295
Sc -1.148 3.402 5.034
C 2.962 0.000 0.097
C 0.000 5.087 0.000
C 0.000 1.718 0.000
Se 0.799 0.000 3.218
Se 2.955 3.402 3.147
```

D(E_F) ... 12.95 states/eV/cell
Energy relative to the elements, uncorrected ... -767.9 meV per atom
Energy above the most stable polymorph in this dataset ... 39 meV/atom

***

10.
## SrPuAg (GGA-PBE)

Data for a geometry-optimized SrPuAg structure.

Structure (extended XYZ):
```
6
Lattice="4.508 0.000 0.000 0.000 6.213 0.000 -2.254 -3.107 6.936" Properties=species:S:1:pos:R:3 pbc="T T T"
Ag 2.254 0.000 5.358
Ag 0.000 3.107 1.577
Pu 2.254 1.549 0.000
Pu 2.254 4.665 0.000
Sr 2.254 3.107 4.022
Sr 0.000 0.000 2.914
```

D(E_F) ... 19.20 states/eV/cell
Energy relative to the elements ... 0.197 eV/f.u.

***

11.
## RbAsNF2 (GGA-PBE)

Data for a geometry-optimized RbAsNF2 structure.

Structure (extended XYZ):
```
5
Lattice="4.733 0.000 0.000 0.000 4.733 0.000 0.000 0.000 4.639" Properties=species:S:1:pos:R:3 pbc="T T T"
Rb 0.000 0.000 0.000
N 0.000 0.000 2.320
As 2.366 2.366 2.320
F 0.000 2.366 0.000
F 2.366 0.000 0.000
```

D(E_F) ... 5.28 states/eV/cell
Energy relative to the elements, uncorrected ... 781.7 meV per atom
Energy above the most stable polymorph in this dataset ... 1873 meV/atom

***

12.
## ErScTcNi (GGA-PBE)

Data for a geometry-optimized ErScTcNi structure.

Structure (extended XYZ):
```
4
Lattice="-2.778 3.674 0.604 -3.374 0.891 -3.068 -4.447 -0.622 1.192" Properties=species:S:1:pos:R:3 pbc="T T T"
Tc -7.950 2.958 -0.953
Ni -2.650 0.986 -0.318
Er 0.000 0.000 0.000
Sc -5.300 1.972 -0.636
```

D(E_F) ... 3.16 states/eV/cell
Energy relative to the elements ... -0.929 eV/f.u.

***

13.
## LiNdPbS3 (GGA-PBE)

Data for a geometry-optimized LiNdPbS3 structure.

Structure (extended XYZ):
```
12
Lattice="4.076 0.000 0.000 0.000 8.462 0.343 0.000 -1.883 8.442" Properties=species:S:1:pos:R:3 pbc="T T T"
S 1.019 5.819 4.459
S 1.019 3.304 7.263
S 1.019 -0.651 7.362
S 3.057 7.230 1.423
S 3.057 3.275 1.522
S 3.057 0.760 4.326
Nd 1.019 5.266 1.728
Nd 3.057 1.313 7.058
Pb 1.019 1.061 1.934
Pb 3.057 5.518 6.851
Li 1.019 -0.393 4.945
Li 3.057 6.972 3.840
```

D(E_F) ... 0.00 states/eV/cell
Energy relative to the elements, uncorrected ... -1313.6 meV per atom

***

14.
## Pm2Dy2Pt15 (GGA-PBE)

Data for a geometry-optimized Pm2Dy2Pt15 structure.

Structure (extended XYZ):
```
19
Lattice="7.110 0.012 0.011 0.934 7.048 0.011 0.934 0.820 7.000" Properties=species:S:1:pos:R:3 pbc="T T T"
Pt 2.361 5.139 4.579
Pt 3.555 0.006 0.005
Pt 5.182 2.208 0.011
Pt 2.862 0.568 4.819
Pt 5.402 1.675 4.579
Pt 6.617 2.741 2.442
Pt 5.182 0.264 2.192
Pt 5.402 4.741 1.138
Pt 0.467 3.524 0.005
Pt 2.862 4.852 0.011
Pt 0.934 5.104 2.192
Pt 0.467 0.410 3.500
Pt 0.934 2.764 4.819
Pt 3.576 3.138 5.884
Pt 3.576 6.205 2.442
Dy 0.958 0.841 0.749
Dy 8.020 7.039 6.272
Pm 3.222 2.828 2.520
Pm 5.756 5.052 4.502
```

D(E_F) ... 17.04 states/eV/cell
Energy relative to the elements ... -13.839 eV/f.u.